# Dy2YAl2Zn2

Crystalline Dy2YAl2Zn2 at its relaxed geometry (PBE, Alexandria).

POSCAR file:
```
Dy2YAl2Zn2
1.0
2.250 1.299 9.082
-2.250 1.299 9.082
0.000 -2.598 9.082
Dy Y Al Zn
2 1 2 2
Cartesian
0.000 0.000 3.475
0.000 0.000 23.770
0.000 0.000 0.000
0.000 0.000 7.181
0.000 0.000 20.064
0.000 0.000 10.860
0.000 0.000 16.385
```

Properties
ΔH_f (0 K) in eV per atom: -0.32
Total energy in eV per formula unit: -27.9
Theoretical density in g/cm3: 6.24

# Dy2Y2Al4Zn

Crystalline Dy2Y2Al4Zn at its relaxed geometry (PBE, Alexandria).

POSCAR file:
```
Dy2Y2Al4Zn
1.0
-3.463 3.463 4.468
3.463 -3.463 4.468
3.463 3.463 -4.468
Dy Y Al Zn
2 2 4 1
Cartesian
3.463 0.000 2.234
0.000 3.463 2.234
0.000 0.000 1.752
0.000 0.000 7.183
1.756 1.756 0.000
1.708 -1.708 4.468
-1.708 1.708 4.468
1.708 1.708 4.468
0.000 0.000 4.468
```

Properties
ΔH_f (0 K) in eV per atom: -0.15
Total energy in eV per formula unit: -39.7
Theoretical density in g/cm3: 5.24

# DyY2Al2Zn2

Crystalline DyY2Al2Zn2 at its relaxed geometry (PBE, Alexandria).

POSCAR file:
```
DyY2Al2Zn2
1.0
2.246 1.297 9.161
-2.246 1.297 9.161
0.000 -2.594 9.161
Dy Y Al Zn
1 2 2 2
Cartesian
0.000 0.000 0.000
0.000 0.000 3.484
0.000 0.000 24.001
0.000 0.000 7.279
0.000 0.000 20.205
0.000 0.000 10.888
0.000 0.000 16.596
```

Properties
ΔH_f (0 K) in eV per atom: -0.33
Total energy in eV per formula unit: -29.8
Theoretical density in g/cm3: 5.45